A relaxed Li6MgTl2 crystal, computed with PBE.

## Properties
Calculated formation energy ... -0.1969 eV/atom
Calculated total energy ... -2.176 eV per atom
D(E_F) ... 0.292 states/eV/atom
Magnetization ... 0.0 Bohr magnetons per cell

```
Li6MgTl2
1.0
4.7200 0.0000 0.0000
-2.3600 4.0876 0.0000
0.0000 0.0000 8.7203
Li Mg Tl
6 1 2
direct
0.0000 0.0000 0.1695
0.0000 0.0000 0.8305
0.3333 0.6667 0.0690
0.3333 0.6667 0.3924
0.6667 0.3333 0.6076
0.6667 0.3333 0.9310
0.0000 0.0000 0.5000
0.3333 0.6667 0.7332
0.6667 0.3333 0.2668
```

=====

A relaxed Li3Mg6Tl crystal, computed with PBE.

## Properties
Calculated formation energy ... 0.0179 eV/atom
Calculated total energy ... -1.750 eV per atom
D(E_F) ... 0.408 states/eV/atom
Magnetization ... 0.0 Bohr magnetons per cell

```
Li3Mg6Tl
1.0
7.8588 0.0000 0.0000
0.0000 6.7452 0.0000
-7.2311 0.0000 8.4852
Li Mg Tl
6 12 2
direct
0.0000 0.0000 0.0000
0.0000 0.5000 0.5000
0.2699 0.2087 0.5342
0.2699 0.2913 0.0342
0.7301 0.7087 0.9658
0.7301 0.7913 0.4658
0.0579 0.6699 0.8197
0.0579 0.8301 0.3197
0.2283 0.6355 0.1659
0.2283 0.8645 0.6659
0.3889 0.1018 0.3340
0.3889 0.3982 0.8340
0.6111 0.6018 0.1660
0.6111 0.8982 0.6660
0.7717 0.1355 0.3341
0.7717 0.3645 0.8341
0.9421 0.1699 0.6803
0.9421 0.3301 0.1803
0.5000 0.0000 0.0000
0.5000 0.5000 0.5000
```

=====

A relaxed LiMgTl crystal, computed with PBE.

## Properties
Calculated formation energy ... -0.0659 eV/atom
Calculated total energy ... -2.024 eV per atom
D(E_F) ... 0.220 states/eV/atom
Magnetization ... 0.0 Bohr magnetons per cell

```
LiMgTl
1.0
3.3199 0.0000 0.0000
-1.6600 2.8751 0.0000
0.0000 0.0000 7.3488
Li Mg Tl
1 1 1
direct
0.0000 0.0000 0.0000
0.3333 0.6667 0.3307
0.6667 0.3333 0.6828
```

=====

For each record above, in turn, the calculated relative energy among the computed polymorphs values are 0, 0, 116 meV per atom.